DFT (GGA-PBE) results for an optimized crystal structure of CuN.

Geometry as CIF:
```
data_CuN
_cell_length_a 5.531
_cell_length_b 5.756
_cell_length_c 6.301
_cell_angle_alpha 90.00
_cell_angle_beta 90.00
_cell_angle_gamma 90.00
_symmetry_space_group_name_H-M 'P 1'
_symmetry_Int_Tables_number 1
loop_
_symmetry_equiv_pos_as_xyz
'x,y,z'
loop_
_atom_site_label
_atom_site_type_symbol
_atom_site_fract_x
_atom_site_fract_y
_atom_site_fract_z
Cu1 Cu 0.153 0.055 0.231
Cu2 Cu 0.177 0.584 0.966
Cu3 Cu 0.323 0.416 0.466
Cu4 Cu 0.347 0.945 0.731
Cu5 Cu 0.653 0.445 0.769
Cu6 Cu 0.677 0.916 0.034
Cu7 Cu 0.823 0.084 0.534
Cu8 Cu 0.847 0.555 0.269
N1 N 0.151 0.394 0.209
N2 N 0.173 0.113 0.538
N3 N 0.327 0.887 0.038
N4 N 0.349 0.606 0.709
N5 N 0.651 0.106 0.791
N6 N 0.673 0.387 0.462
N7 N 0.827 0.613 0.962
N8 N 0.849 0.894 0.291
```

Computed properties:
Formation energy without anion corrections (meV/atom): 1063
E_tot (eV per atom): -5.15
Polymorph energy (0 for the lowest one) (meV/atom): 685.5
SG: No. 19

=====

DFT (GGA-PBE) results for an optimized crystal structure of NdPuSi4.

Geometry as CIF:
```
data_NdPuSi4
_cell_length_a 5.364
_cell_length_b 5.364
_cell_length_c 5.364
_cell_angle_alpha 60.00
_cell_angle_beta 60.00
_cell_angle_gamma 60.00
_symmetry_space_group_name_H-M 'P 1'
_symmetry_Int_Tables_number 1
loop_
_symmetry_equiv_pos_as_xyz
'x,y,z'
loop_
_atom_site_label
_atom_site_type_symbol
_atom_site_fract_x
_atom_site_fract_y
_atom_site_fract_z
Nd1 Nd 0.000 0.000 0.000
Pu1 Pu 0.250 0.250 0.250
Si1 Si 0.130 0.623 0.623
Si2 Si 0.623 0.130 0.623
Si3 Si 0.623 0.623 0.130
Si4 Si 0.623 0.623 0.623
```

Computed properties:
Formation energy without anion corrections (meV/atom): -328
E_tot (eV per atom): -7.13
Polymorph energy (0 for the lowest one) (meV/atom): 237.6
SG: No. 216

=====

DFT (GGA-PBE) results for an optimized crystal structure of Ac2NbCr2N6.

Geometry as CIF:
```
data_Ac2NbCr2N6
_cell_length_a 6.386
_cell_length_b 6.386
_cell_length_c 6.386
_cell_angle_alpha 54.66
_cell_angle_beta 54.66
_cell_angle_gamma 54.66
_symmetry_space_group_name_H-M 'P 1'
_symmetry_Int_Tables_number 1
loop_
_symmetry_equiv_pos_as_xyz
'x,y,z'
loop_
_atom_site_label
_atom_site_type_symbol
_atom_site_fract_x
_atom_site_fract_y
_atom_site_fract_z
Ac1 Ac 0.232 0.232 0.232
Ac2 Ac 0.768 0.768 0.768
Nb1 Nb 0.000 0.000 0.000
Cr1 Cr 0.434 0.434 0.434
Cr2 Cr 0.566 0.566 0.566
N1 N 0.243 0.243 0.746
N2 N 0.243 0.746 0.243
N3 N 0.254 0.757 0.757
N4 N 0.746 0.243 0.243
N5 N 0.757 0.254 0.757
N6 N 0.757 0.757 0.254
```

Computed properties:
Formation energy without anion corrections (meV/atom): -856
E_tot (eV per atom): -8.81
SG: No. 166

=====

DFT (GGA-PBE) results for an optimized crystal structure of GdSc3Ru.

Geometry as CIF:
```
data_GdSc3Ru
_cell_length_a 5.053
_cell_length_b 5.053
_cell_length_c 5.053
_cell_angle_alpha 90.00
_cell_angle_beta 90.00
_cell_angle_gamma 90.00
_symmetry_space_group_name_H-M 'P 1'
_symmetry_Int_Tables_number 1
loop_
_symmetry_equiv_pos_as_xyz
'x,y,z'
loop_
_atom_site_label
_atom_site_type_symbol
_atom_site_fract_x
_atom_site_fract_y
_atom_site_fract_z
Gd1 Gd 0.000 0.000 0.000
Sc1 Sc 0.000 0.500 0.500
Sc2 Sc 0.500 0.000 0.500
Sc3 Sc 0.500 0.500 0.000
Ru1 Ru 0.500 0.500 0.500
```

Computed properties:
E_tot (eV per atom): -8.62
Formation energy (eV/f.u.): -0.7
SG: No. 221

=====

DFT (GGA-PBE) results for an optimized crystal structure of NdHo2UO8.

Geometry as CIF:
```
data_NdHo2UO8
_cell_length_a 3.903
_cell_length_b 5.318
_cell_length_c 7.642
_cell_angle_alpha 90.00
_cell_angle_beta 90.00
_cell_angle_gamma 90.00
_symmetry_space_group_name_H-M 'P 1'
_symmetry_Int_Tables_number 1
loop_
_symmetry_equiv_pos_as_xyz
'x,y,z'
loop_
_atom_site_label
_atom_site_type_symbol
_atom_site_fract_x
_atom_site_fract_y
_atom_site_fract_z
Nd1 Nd 0.000 0.000 0.000
Ho1 Ho 0.500 0.500 0.260
Ho2 Ho 0.500 0.500 0.740
U1 U 0.000 0.000 0.500
O1 O 0.000 0.244 0.277
O2 O 0.000 0.244 0.723
O3 O 0.000 0.756 0.277
O4 O 0.000 0.756 0.723
O5 O 0.500 0.233 0.500
O6 O 0.500 0.269 0.000
O7 O 0.500 0.731 0.000
O8 O 0.500 0.767 0.500
```

Computed properties:
Formation energy without anion corrections (meV/atom): -3256
E_tot (eV per atom): -8.66
SG: No. 47

=====

DFT (GGA-PBE) results for an optimized crystal structure of Ta2Ti3Tc.

Geometry as CIF:
```
data_Ta2Ti3Tc
_cell_length_a 4.726
_cell_length_b 5.514
_cell_length_c 8.071
_cell_angle_alpha 90.00
_cell_angle_beta 97.62
_cell_angle_gamma 90.00
_symmetry_space_group_name_H-M 'P 1'
_symmetry_Int_Tables_number 1
loop_
_symmetry_equiv_pos_as_xyz
'x,y,z'
loop_
_atom_site_label
_atom_site_type_symbol
_atom_site_fract_x
_atom_site_fract_y
_atom_site_fract_z
Ta1 Ta 0.201 0.250 0.441
Ta2 Ta 0.219 0.750 0.339
Ta3 Ta 0.781 0.250 0.661
Ta4 Ta 0.799 0.750 0.559
Ti1 Ti 0.142 0.250 0.078
Ti2 Ti 0.299 0.510 0.743
Ti3 Ti 0.299 0.990 0.743
Ti4 Ti 0.701 0.010 0.257
Ti5 Ti 0.701 0.490 0.257
Ti6 Ti 0.858 0.750 0.922
Tc1 Tc 0.368 0.750 0.030
Tc2 Tc 0.632 0.250 0.970
```

Computed properties:
E_tot (eV per atom): -9.62
Formation energy (eV/f.u.): 0.1
SG: No. 11

=====

DFT (GGA-PBE) results for an optimized crystal structure of ScAsOs.

Geometry as CIF:
```
data_ScAsOs
_cell_length_a 5.782
_cell_length_b 5.782
_cell_length_c 5.782
_cell_angle_alpha 148.98
_cell_angle_beta 148.98
_cell_angle_gamma 44.44
_symmetry_space_group_name_H-M 'P 1'
_symmetry_Int_Tables_number 1
loop_
_symmetry_equiv_pos_as_xyz
'x,y,z'
loop_
_atom_site_label
_atom_site_type_symbol
_atom_site_fract_x
_atom_site_fract_y
_atom_site_fract_z
Sc1 Sc 0.000 0.000 0.000
As1 As 0.300 0.300 0.000
Os1 Os 0.674 0.674 0.000
```

Computed properties:
E_tot (eV per atom): -7.75
Formation energy (eV/f.u.): -1.0
SG: No. 107

=====

DFT (GGA-PBE) results for an optimized crystal structure of Mn2CuRe.

Geometry as CIF:
```
data_Mn2CuRe
_cell_length_a 4.415
_cell_length_b 4.415
_cell_length_c 4.415
_cell_angle_alpha 129.38
_cell_angle_beta 129.38
_cell_angle_gamma 74.40
_symmetry_space_group_name_H-M 'P 1'
_symmetry_Int_Tables_number 1
loop_
_symmetry_equiv_pos_as_xyz
'x,y,z'
loop_
_atom_site_label
_atom_site_type_symbol
_atom_site_fract_x
_atom_site_fract_y
_atom_site_fract_z
Mn1 Mn 0.250 0.750 0.500
Mn2 Mn 0.750 0.250 0.500
Cu1 Cu 0.000 0.000 0.000
Re1 Re 0.500 0.500 0.000
```

Computed properties:
E_tot (eV per atom): -8.59
Formation energy (eV/f.u.): 0.5
Polymorph energy (0 for the lowest one) (meV/atom): 0.0
SG: No. 139

=====

E_tot of number 1 (CuN)? -5.15 eV per atom